# 1
# PBE LaCu2WC, relaxed
# DFT formation energy in eV/atom: 2.4568
# Energy in eV/atom: -4.603
# Crystal system: tetragonal
# Space group: P4/mmm
data_LaCu2WC
_space_group_name_H-M_alt 'P 1'
_space_group_IT_number 1
_cell_length_a 4.8641
_cell_length_b 4.2433
_cell_length_c 4.8641
_cell_angle_alpha 90.00
_cell_angle_beta 90.00
_cell_angle_gamma 90.00
loop_
_space_group_symop_operation_xyz
'x,y,z'
loop_
_atom_site_label
_atom_site_fract_x
_atom_site_fract_y
_atom_site_fract_z
W1 0.5000 0.5000 0.5000
Cu1 0.5000 0.0000 0.0000
Cu2 0.0000 0.0000 0.5000
C1 0.0000 0.5000 0.0000
La1 0.0000 0.0000 0.0000

=====

# 2
# PBE Pr13Er3, relaxed
# DFT formation energy in eV/atom: 0.0137
# Energy in eV/atom: -4.725
# Crystal system: orthorhombic
# Space group: Amm2
data_Pr13Er3
_space_group_name_H-M_alt 'P 1'
_space_group_IT_number 1
_cell_length_a 7.3403
_cell_length_b 7.3403
_cell_length_c 10.4079
_cell_angle_alpha 90.00
_cell_angle_beta 90.00
_cell_angle_gamma 90.09
loop_
_space_group_symop_operation_xyz
'x,y,z'
loop_
_atom_site_label
_atom_site_fract_x
_atom_site_fract_y
_atom_site_fract_z
Pr1 0.7532 0.2468 0.5000
Pr2 0.9985 0.4986 0.7522
Pr3 0.5016 0.4984 0.2487
Pr4 0.5014 0.0015 0.2478
Pr5 0.2472 0.2469 0.5000
Pr6 0.9985 0.4986 0.2478
Pr7 0.2471 0.7529 0.0000
Pr8 0.5014 0.0015 0.7522
Pr9 0.7531 0.7528 0.5000
Er1 0.9982 0.0018 0.7522
Er2 0.9982 0.0018 0.2478
Pr10 0.7528 0.7529 0.0000
Pr11 0.5016 0.4984 0.7513
Pr12 0.2471 0.2472 0.0000
Er3 0.7530 0.2470 0.0000
Pr13 0.2469 0.7531 0.5000

=====

# 3
# PBE La2Zn5Pb, relaxed
# DFT formation energy in eV/atom: -0.3947
# Energy in eV/atom: -2.886
# Crystal system: orthorhombic
# Space group: Cmcm
data_La2Zn5Pb
_space_group_name_H-M_alt 'P 1'
_space_group_IT_number 1
_cell_length_a 8.7606
_cell_length_b 8.7606
_cell_length_c 9.2197
_cell_angle_alpha 90.00
_cell_angle_beta 90.00
_cell_angle_gamma 149.62
loop_
_space_group_symop_operation_xyz
'x,y,z'
loop_
_atom_site_label
_atom_site_fract_x
_atom_site_fract_y
_atom_site_fract_z
Zn1 0.3404 0.6596 0.9878
Zn2 0.3939 0.6061 0.2500
La1 0.7923 0.2077 0.7500
Zn3 0.8156 0.1844 0.1089
Pb1 0.5563 0.4437 0.2500
Zn4 0.6061 0.3939 0.7500
Zn5 0.3404 0.6596 0.5122
La2 0.0000 0.0000 0.5000
Pb2 0.4437 0.5563 0.7500
Zn6 0.1844 0.8156 0.6089
Zn7 0.6596 0.3404 0.4878
Zn8 0.8156 0.1844 0.3911
Zn9 0.6596 0.3404 0.0122
La3 0.2077 0.7923 0.2500
La4 0.0000 0.0000 0.0000
Zn10 0.1844 0.8156 0.8911

=====

# 4
# PBE MgAsSe, relaxed
# Energy above the lowest structure with this stoichiometry in eV per formula unit: 0.53
# Energy in eV/atom: -3.398
# Crystal system: trigonal
# Raw formation energy in eV/atom: -0.15
# Space group: P3m1
data_MgAsSe
_space_group_name_H-M_alt 'P 1'
_space_group_IT_number 1
_cell_length_a 3.1535
_cell_length_b 3.1535
_cell_length_c 8.2029
_cell_angle_alpha 90.00
_cell_angle_beta 90.00
_cell_angle_gamma 120.00
loop_
_space_group_symop_operation_xyz
'x,y,z'
loop_
_atom_site_label
_atom_site_fract_x
_atom_site_fract_y
_atom_site_fract_z
Se1 0.6667 0.3333 0.5845
Mg1 0.3333 0.6667 0.3372
As1 0.0000 0.0000 0.0783

=====

Question: Which of these has the lowest energy?
Answer: Pr13Er3

=====

Question: energy of number 4 (MgAsSe)?
Answer: -3.398 eV/atom

=====

Question: Which value of energy does entry 3 give?
Answer: -2.886 eV/atom